Below is crystalline Ti2GaNiPt5 at its relaxed geometry, with properties calculated at the PBE level.

Results
**Fermi-level density of states**: 28.172 states/eV per cell
**Energy relative to the elements**: -267 meV per atom

a b c (Å): 7.5035 7.5035 10.4818
angles (deg): 90.00 90.00 90.00
Last column: nearest neighbours and their distance in Å.
Space group I4/mcm (No. 140)
Inequivalent atoms, fractional coordinates:
Ti: 0.1152 0.3848 0.0000  2 Pt 2.43, 1 Ti 2.44
Ga: 0.0000 0.0000 0.2500  2 Pt 2.62
Ni: 0.0000 0.5000 0.2500  4 Pt 2.43
Pt: 0.0000 0.0000 0.0000  2 Ga 2.62
Pt: 0.1969 0.3031 0.3680  1 Ti 2.43, 1 Ni 2.43